(1)
Here is a relaxed La5Sm4Tl4 crystal from Alexandria via LeMat-Bulk. Energies are from PBE.

It has space group I4/m (No. 87), with a = 12.918 Å, b = 12.918 Å, c = 5.174 Å, α = 90.00°, β = 90.00° and γ = 90.00°. The distinct sites, in fractional coordinates, are La at (0.000, 0.000, 0.000), La at (0.105, 0.196, 0.500), Sm at (0.091, 0.394, 0.000) and Tl at (0.098, 0.764, 0.000).

The value obtained for the density of states at the Fermi level is 16.03 states/eV/f.u. As for the calculated volume: 33.21 A^3/atom. For the energy of formation, the calculation gives -262 meV/atom. Its total moment is 0.00 Bohr magnetons per cell. Its crystal system is tetragonal.



(2)
Here is a relaxed La2Sm2Tl3 crystal from Alexandria via LeMat-Bulk. Energies are from PBE.

It has space group P-1 (No. 2), with a = 5.479 Å, b = 5.564 Å, c = 8.536 Å, α = 71.03°, β = 71.34° and γ = 89.99°. The distinct sites, in fractional coordinates, are La at (0.124, 0.124, 0.253), Sm at (0.380, 0.379, 0.741), Tl at (0.000, 0.500, 0.500) and Tl at (0.250, 0.750, 0.998).

The value obtained for the density of states at the Fermi level is 7.51 states/eV/f.u. As for the calculated volume: 33.08 A^3/atom. The value obtained for the energy above the most stable polymorph in this dataset is 0.06 eV/f.u. For the energy of formation, the calculation gives -268 meV/atom. Its total moment is 0.00 Bohr magnetons per cell. Its crystal system is triclinic.



(3)
Here is a relaxed La3Sm4Tl4 crystal from Alexandria via LeMat-Bulk. Energies are from PBE.

It has space group Immm (No. 71), with a = 4.695 Å, b = 8.652 Å, c = 17.960 Å, α = 90.00°, β = 90.00° and γ = 90.00°. The distinct sites, in fractional coordinates, are La at (0.000, 0.000, 0.000), La at (0.000, 0.500, 0.111), Sm at (0.000, 0.300, 0.333), Tl at (0.000, 0.000, 0.235) and Tl at (0.000, 0.194, 0.500).

The value obtained for the density of states at the Fermi level is 11.33 states/eV/f.u. As for the calculated volume: 33.16 A^3/atom. For the energy of formation, the calculation gives -227 meV/atom. Its total moment is 0.00 Bohr magnetons per cell. Its crystal system is orthorhombic.



(4)
Here is a relaxed La5Sm4Tl crystal from Alexandria via LeMat-Bulk. Energies are from PBE.

It has space group I4mm (No. 107), with a = 10.609 Å, b = 10.609 Å, c = 6.260 Å, α = 90.00°, β = 90.00° and γ = 90.00°. The distinct sites, in fractional coordinates, are La at (0.000, 0.000, 0.000), La at (0.190, 0.190, 0.259), Sm at (0.000, 0.317, 0.766) and Tl at (0.000, 0.000, 0.518).

The value obtained for the density of states at the Fermi level is 14.17 states/eV/f.u. As for the calculated volume: 35.23 A^3/atom. For the energy of formation, the calculation gives 119 meV/atom. Its total moment is 0.00 Bohr magnetons per cell. Its crystal system is tetragonal.